Entry 1:
Density functional theory data (GGA-PBE) for a relaxed structure of LiTlI2O8.

a b c (Å): 6.672 6.672 6.672
angles (deg): 107.09 107.09 114.34
Fractional positions:
Li (0.000, 0.000, 0.000)
Tl (0.250, 0.750, 0.500)
I (0.500, 0.500, 0.000)
I (0.750, 0.250, 0.500)
O (0.346, 0.166, 0.820)
O (0.346, 0.525, 0.180)
O (0.420, 0.105, 0.316)
O (0.475, 0.654, 0.820)
O (0.789, 0.105, 0.684)
O (0.834, 0.654, 0.180)
O (0.895, 0.211, 0.316)
O (0.895, 0.580, 0.684)

Properties
- Theoretical density: 4.33 g cm⁻³
- E_tot: -4.31 eV/atom
- Total moment: 0.0 Bohr magnetons per cell
- Space-group type: I-4m2, No. 119


Entry 2:
Density functional theory data (GGA-PBE) for a relaxed structure of CaAgPd.

a b c (Å): 4.663 4.663 3.521
angles (deg): 90.00 90.00 120.00
Fractional positions:
Ca (0.000, 0.000, 0.000)
Ag (0.333, 0.667, 0.500)
Pd (0.667, 0.333, 0.500)

Properties
- Theoretical density: 6.37 g cm⁻³
- E_form: -38.81 kJ per mole of atoms
- E_tot: -3.75 eV/atom
- Energy above the lowest structure with this stoichiometry: 110 meV/atom
- Total moment: 0.0 Bohr magnetons per cell
- Space-group type: P-6m2, No. 187